No. 1
The following is a DFT calculation (PBE) of a relaxed CeNpUN3 crystal.

Cell lengths 3.359, 6.974, 8.213 Å; angles 95.29, 90.00, 90.00 degrees
Each line ends with the local moment (μB).
Element x y z (fractional)
N: 0.250 0.124 0.881  -0.04
N: 0.250 0.873 0.581  -0.11
N: 0.250 0.593 0.895  -0.02
N: 0.750 0.876 0.119  -0.04
N: 0.750 0.127 0.419  -0.11
N: 0.750 0.407 0.105  -0.02
Np: 0.750 0.799 0.404  3.00
Np: 0.250 0.201 0.596  3.00
Ce: 0.250 0.140 0.172  0.33
Ce: 0.750 0.860 0.828  0.33
U: 0.250 0.643 0.157  0.89
U: 0.750 0.357 0.843  0.89

Results
Uncorrected formation energy = -644 kJ/mol of formula units
Symmetry = No. 11



No. 2
The following is a DFT calculation (PBE) of a relaxed Ce3Np2UN6 crystal.

Cell lengths 6.049, 6.049, 6.094 Å; angles 99.52, 99.52, 119.98 degrees
Each line ends with the local moment (μB).
Element x y z (fractional)
Ce: 0.168 0.832 0.500  0.29
Ce: 0.500 0.500 0.500  0.29
Ce: 0.832 0.168 0.500  0.29
N: 0.250 0.250 0.775  -0.07
N: 0.074 0.399 0.223  -0.08
N: 0.601 0.926 0.777  -0.08
N: 0.399 0.074 0.223  -0.08
N: 0.926 0.601 0.777  -0.08
N: 0.750 0.750 0.225  -0.07
Np: 0.666 0.334 0.000  3.06
Np: 0.334 0.666 0.000  3.06
U: 0.000 0.000 0.000  0.58

Results
Uncorrected formation energy = -1571 kJ/mol of formula units
Symmetry = No. 12



No. 3
The following is a DFT calculation (PBE) of a relaxed CeNpU2N4 crystal.

Cell lengths 3.476, 6.029, 5.991 Å; angles 109.64, 90.00, 90.00 degrees
Each line ends with the local moment (μB).
Element x y z (fractional)
N: 0.500 0.248 0.265  -0.09
N: 0.500 0.752 0.735  -0.09
N: 0.000 0.236 0.727  -0.05
N: 0.000 0.764 0.273  -0.05
Np: 0.000 0.000 0.000  3.25
U: 0.500 0.000 0.500  0.80
U: 0.000 0.500 0.500  1.09
Ce: 0.500 0.500 0.000  0.02

Results
Uncorrected formation energy = -1019 kJ/mol of formula units
Symmetry = No. 10



No. 4
The following is a DFT calculation (PBE) of a relaxed CeNp2VN4 crystal.

Cell lengths 3.366, 5.996, 11.534 Å; angles 90.00, 90.00, 106.30 degrees
Each line ends with the local moment (μB).
Element x y z (fractional)
V: 0.160 0.320 0.250  -0.15
V: 0.840 0.680 0.750  -0.15
Np: 0.368 0.737 0.951  2.85
Np: 0.632 0.263 0.049  2.85
Np: 0.368 0.737 0.549  2.85
Np: 0.632 0.263 0.451  2.85
N: 0.000 0.000 0.000  -0.15
N: 0.269 0.537 0.379  -0.08
N: 0.000 0.000 0.500  -0.15
N: 0.442 0.884 0.750  -0.03
N: 0.558 0.116 0.250  -0.03
N: 0.731 0.463 0.621  -0.08
N: 0.269 0.537 0.121  -0.08
N: 0.731 0.463 0.879  -0.08
Ce: 0.898 0.795 0.250  0.04
Ce: 0.102 0.205 0.750  0.04

Results
Uncorrected formation energy = -852 kJ/mol of formula units
Symmetry = No. 63



No. 5
The following is a DFT calculation (PBE) of a relaxed Ce2Y3NpN6 crystal.

Cell lengths 6.065, 6.065, 6.080 Å; angles 99.58, 99.58, 120.00 degrees
Each line ends with the local moment (μB).
Element x y z (fractional)
N: 0.082 0.404 0.247  -0.06
N: 0.240 0.240 0.755  -0.05
N: 0.404 0.082 0.247  -0.06
N: 0.918 0.596 0.753  -0.06
N: 0.760 0.760 0.245  -0.05
N: 0.596 0.918 0.753  -0.06
Y: 0.833 0.167 0.500  0.04
Y: 0.167 0.833 0.500  0.04
Y: 0.500 0.500 0.500  0.04
Np: 0.000 0.000 0.000  3.04
Ce: 0.666 0.334 0.000  0.43
Ce: 0.334 0.666 0.000  0.43

Results
Uncorrected formation energy = -1754 kJ/mol of formula units
Symmetry = No. 12



No. 6
The following is a DFT calculation (PBE) of a relaxed CeY2NpN4 crystal.

Cell lengths 3.490, 6.046, 6.064 Å; angles 109.38, 90.00, 90.00 degrees
Each line ends with the local moment (μB).
Element x y z (fractional)
N: 0.500 0.742 0.754  -0.06
N: 0.500 0.258 0.246  -0.06
N: 0.000 0.739 0.243  -0.09
N: 0.000 0.261 0.757  -0.09
Np: 0.500 0.500 0.000  3.15
Ce: 0.000 0.000 0.000  0.42
Y: 0.500 0.000 0.500  0.07
Y: 0.000 0.500 0.500  0.04

Results
Uncorrected formation energy = -1143 kJ/mol of formula units
Symmetry = No. 10



No. 7
The following is a DFT calculation (PBE) of a relaxed Ce3Y2NpN6 crystal.

Cell lengths 6.072, 6.072, 6.117 Å; angles 99.54, 99.54, 119.97 degrees
Each line ends with the local moment (μB).
Element x y z (fractional)
Ce: 0.500 0.500 0.500  0.38
Ce: 0.832 0.168 0.500  0.38
Ce: 0.168 0.832 0.500  0.38
N: 0.240 0.240 0.762  -0.06
N: 0.602 0.921 0.764  -0.06
N: 0.760 0.760 0.238  -0.06
N: 0.398 0.079 0.236  -0.06
N: 0.921 0.602 0.764  -0.06
N: 0.079 0.398 0.236  -0.06
Y: 0.666 0.334 0.000  0.04
Y: 0.334 0.666 0.000  0.04
Np: 0.000 0.000 0.000  2.78

Results
Uncorrected formation energy = -1726 kJ/mol of formula units
Symmetry = No. 12



No. 8
The following is a DFT calculation (PBE) of a relaxed Ce2NpZnN5 crystal.

Cell lengths 3.462, 7.016, 10.379 Å; angles 90.00, 90.00, 104.28 degrees
Each line ends with the local moment (μB).
Element x y z (fractional)
N: 0.298 0.596 0.373  -0.08
N: 0.643 0.286 0.507  -0.06
N: 0.055 0.111 0.053  -0.06
N: 0.945 0.889 0.553  -0.06
N: 0.506 0.013 0.276  -0.04
N: 0.281 0.563 0.646  -0.08
N: 0.702 0.404 0.873  -0.08
N: 0.494 0.987 0.776  -0.04
N: 0.719 0.437 0.146  -0.08
N: 0.357 0.714 0.007  -0.06
Ce: 0.129 0.259 0.298  0.39
Ce: 0.891 0.783 0.191  0.43
Ce: 0.871 0.741 0.798  0.39
Ce: 0.109 0.217 0.691  0.43
Zn: 0.484 0.968 0.470  -0.01
Zn: 0.516 0.032 0.970  -0.01
Np: 0.795 0.589 0.509  1.41
Np: 0.205 0.411 0.009  1.41

Results
Uncorrected formation energy = -858 kJ/mol of formula units
Symmetry = No. 36